No. 1
Here is an optimized crystal structure of Dy2YHg4 from Alexandria. Energies are from PBE-GGA.

Output
ΔE to the lowest computed polymorph (meV/atom): 0
Space group: R-3m
Calculated formation energy (eV/atom): -0.3441
E (eV per cell): -19.284

a b c (Å): 5.091 5.091 9.171
angles (deg): 73.89 73.89 60.00
Fractional positions:
Dy: 0.756 0.756 0.733
Dy: 0.244 0.244 0.267
Y: 0.000 0.000 0.000
Hg: 0.873 0.873 0.380
Hg: 0.127 0.127 0.620
Hg: 0.625 0.625 0.126
Hg: 0.375 0.375 0.874

***

No. 2
Here is an optimized crystal structure of GaGeBiC2 from Alexandria. Energies are from PBE-GGA.

Output
Space group: P4/mmm
Calculated formation energy (eV/atom): 1.8892
E (eV per cell): -20.527

a b c (Å): 4.122 5.203 4.122
angles (deg): 90.00 90.00 90.00
Fractional positions:
C: 0.000 0.000 0.500
C: 0.500 0.000 0.000
Ge: 0.000 0.500 0.000
Bi: 0.500 0.500 0.500
Ga: 0.000 0.000 0.000

***

No. 3
Here is an optimized crystal structure of Sr6P2AuBr3 from Alexandria. Energies are from PBE-GGA.

Output
Space group: C2/m
E (eV per cell): -45.706
Uncorrected formation energy (meV per atom): -1375

a b c (Å): 7.797 7.797 8.045
angles (deg): 99.21 99.21 120.38
Site moments in Bohr magnetons follow the coordinates.
Fractional positions:
Sr: 0.932 0.586 0.789  0.06
Sr: 0.726 0.726 0.214  0.06
Sr: 0.068 0.414 0.211  0.06
Sr: 0.586 0.932 0.789  0.06
Sr: 0.274 0.274 0.786  0.06
Sr: 0.414 0.068 0.211  0.06
P: 0.335 0.665 0.000  0.01
P: 0.665 0.335 0.000  0.01
Au: 0.000 0.000 0.000  0.12
Br: 0.173 0.827 0.500  0.01
Br: 0.827 0.173 0.500  0.01
Br: 0.500 0.500 0.500  0.01

***

No. 4
Here is an optimized crystal structure of Ac8HIr3Au3 from Alexandria. Energies are from PBE-GGA.

Output
Space group: R-3m
E (eV per cell): -82.517

a b c (Å): 8.739 8.739 8.894
angles (deg): 119.42 90.00 120.00
Fractional positions:
Ac: 0.259 0.517 0.276
Ac: 0.741 0.483 0.724
Ac: 0.757 0.513 0.276
Ac: 0.243 0.487 0.724
Ac: 0.757 0.019 0.276
Ac: 0.243 0.981 0.724
Ac: 0.263 0.019 0.276
Ac: 0.737 0.981 0.724
H: 0.000 0.000 0.500
Ir: 0.500 0.000 0.500
Ir: 0.500 0.500 0.500
Ir: 0.000 0.500 0.500
Au: 0.000 0.000 0.000
Au: 0.000 0.500 0.000
Au: 0.500 0.500 0.000

***

Listing total moment for the structures above in their given order: 0.00; 0.00; 2.04; 0.00 Bohr magnetons per cell.